Record 1
An optimized crystal structure of PmHoHg3, computed with PBE-GGA.

For the density of states at the Fermi level, the calculation gives 1.046 states/eV per atom. The calculation puts the formation enthalpy at 0 K at -0.420 eV per atom. The value obtained for the total energy is -2.4663 eV/atom.

a = 3.592 Å, b = 29.140 Å, c = 4.950 Å
α = 90.00°, β = 90.00°, γ = 90.00°
Space group Cmcm (No. 63)
Unique sites:
Pm 0.000 0.076 0.250 (multiplicity 4)
Ho 0.000 0.211 0.750 (multiplicity 4)
Hg 0.000 0.317 0.750 (multiplicity 4)
Hg 0.000 0.377 0.250 (multiplicity 4)
Hg 0.000 0.476 0.250 (multiplicity 4)

Record 2
An optimized crystal structure of PmHo2Hg6, computed with PBE-GGA.

For the density of states at the Fermi level, the calculation gives 0.448 states/eV per atom. The calculation puts the formation enthalpy at 0 K at -0.398 eV per atom. The value obtained for the total energy is -2.1442 eV/atom.

a = 14.454 Å, b = 11.752 Å, c = 5.451 Å
α = 90.00°, β = 100.00°, γ = 90.00°
Space group C2/c (No. 15)
Unique sites:
Pm 0.000 0.126 0.250 (multiplicity 4)
Ho 0.166 0.376 0.085 (multiplicity 8)
Hg 0.055 0.377 0.530 (multiplicity 8)
Hg 0.115 0.127 0.805 (multiplicity 8)
Hg 0.226 0.126 0.362 (multiplicity 8)

Record 3
An optimized crystal structure of Pm2HoHg4, computed with PBE-GGA.

For the density of states at the Fermi level, the calculation gives 0.978 states/eV per atom. The calculation puts the formation enthalpy at 0 K at -0.029 eV per atom. The value obtained for the total energy is -2.2131 eV/atom.

a = 5.616 Å, b = 5.616 Å, c = 15.580 Å
α = 90.00°, β = 90.00°, γ = 90.00°
Space group I4/mmm (No. 139)
Unique sites:
Pm 0.000 0.000 0.106 (multiplicity 4)
Ho 0.000 0.000 0.500 (multiplicity 2)
Hg 0.000 0.000 0.307 (multiplicity 4)
Hg 0.000 0.500 0.000 (multiplicity 4)

Record 4
An optimized crystal structure of Pm3Ho2Hg3, computed with PBE-GGA.

For the density of states at the Fermi level, the calculation gives 1.292 states/eV per atom. The calculation puts the formation enthalpy at 0 K at -0.356 eV per atom. The value obtained for the total energy is -3.3953 eV/atom.

a = 3.760 Å, b = 5.434 Å, c = 22.349 Å
α = 90.00°, β = 90.00°, γ = 90.00°
Space group Immm (No. 71)
Unique sites:
Pm 0.000 0.000 0.000 (multiplicity 2)
Pm 0.000 0.500 0.122 (multiplicity 4)
Ho 0.000 0.000 0.233 (multiplicity 4)
Hg 0.000 0.000 0.500 (multiplicity 2)
Hg 0.000 0.500 0.377 (multiplicity 4)

Record 5
An optimized crystal structure of Pm2HoHg8, computed with PBE-GGA.

For the density of states at the Fermi level, the calculation gives 0.481 states/eV per atom. The calculation puts the formation enthalpy at 0 K at -0.337 eV per atom. The value obtained for the total energy is -1.8364 eV/atom.

a = 16.039 Å, b = 5.045 Å, c = 7.261 Å
α = 90.00°, β = 109.84°, γ = 90.00°
Space group C2/m (No. 12)
Unique sites:
Pm 0.211 0.000 0.156 (multiplicity 4)
Ho 0.000 0.500 0.500 (multiplicity 2)
Hg 0.021 0.000 0.229 (multiplicity 4)
Hg 0.095 0.500 0.947 (multiplicity 4)
Hg 0.151 0.000 0.667 (multiplicity 4)
Hg 0.167 0.500 0.393 (multiplicity 4)

Record 6
An optimized crystal structure of Pm4HoHg4, computed with PBE-GGA.

For the density of states at the Fermi level, the calculation gives 0.779 states/eV per atom. The calculation puts the formation enthalpy at 0 K at -0.263 eV per atom. The value obtained for the total energy is -3.0168 eV/atom.

a = 9.576 Å, b = 9.576 Å, c = 5.702 Å
α = 90.00°, β = 90.00°, γ = 90.00°
Space group P4_2/n (No. 86, origin choice 2)
Unique sites:
Pm 0.093 0.837 0.142 (multiplicity 8)
Ho 0.250 0.250 0.750 (multiplicity 2)
Hg 0.051 0.148 0.362 (multiplicity 8)

Record 7
An optimized crystal structure of Pm2Ho3Hg7, computed with PBE-GGA.

For the density of states at the Fermi level, the calculation gives 0.660 states/eV per atom. The calculation puts the formation enthalpy at 0 K at -0.292 eV per atom. The value obtained for the total energy is -2.4045 eV/atom.

a = 5.241 Å, b = 23.281 Å, c = 5.405 Å
α = 90.00°, β = 90.00°, γ = 90.00°
Space group Cmmm (No. 65)
Unique sites:
Pm 0.000 0.145 0.000 (multiplicity 4)
Ho 0.000 0.338 0.500 (multiplicity 4)
Ho 0.000 0.500 0.500 (multiplicity 2)
Hg 0.000 0.000 0.000 (multiplicity 2)
Hg 0.000 0.080 0.500 (multiplicity 4)
Hg 0.000 0.279 0.000 (multiplicity 4)
Hg 0.000 0.427 0.000 (multiplicity 4)

Record 8
An optimized crystal structure of PmHo2Hg, computed with PBE-GGA.

For the density of states at the Fermi level, the calculation gives 1.599 states/eV per atom. The calculation puts the formation enthalpy at 0 K at -0.017 eV per atom. The value obtained for the total energy is -3.5693 eV/atom.

a = 7.662 Å, b = 7.662 Å, c = 7.662 Å
α = 90.00°, β = 90.00°, γ = 90.00°
Space group Fm-3m (No. 225)
Unique sites:
Pm 0.000 0.000 0.000 (multiplicity 4)
Ho 0.250 0.250 0.250 (multiplicity 8)
Hg 0.000 0.000 0.500 (multiplicity 4)

Record 9
An optimized crystal structure of Pm3Ho4Hg8, computed with PBE-GGA.

For the density of states at the Fermi level, the calculation gives 0.944 states/eV per atom. The calculation puts the formation enthalpy at 0 K at -0.402 eV per atom. The value obtained for the total energy is -2.7336 eV/atom.

a = 7.419 Å, b = 7.419 Å, c = 7.419 Å
α = 90.00°, β = 90.00°, γ = 90.00°
Space group Pm-3m (No. 221)
Unique sites:
Pm 0.000 0.000 0.500 (multiplicity 3)
Ho 0.000 0.000 0.000 (multiplicity 1)
Ho 0.000 0.500 0.500 (multiplicity 3)
Hg 0.262 0.262 0.262 (multiplicity 8)

Record 10
An optimized crystal structure of Pm5Ho4Hg4, computed with PBE-GGA.

For the density of states at the Fermi level, the calculation gives 0.798 states/eV per atom. The calculation puts the formation enthalpy at 0 K at -0.317 eV per atom. The value obtained for the total energy is -3.6451 eV/atom.

a = 12.193 Å, b = 12.193 Å, c = 5.167 Å
α = 90.00°, β = 90.00°, γ = 90.00°
Space group I4/m (No. 87)
Unique sites:
Pm 0.000 0.000 0.000 (multiplicity 2)
Pm 0.119 0.815 0.500 (multiplicity 8)
Ho 0.097 0.604 0.000 (multiplicity 8)
Hg 0.093 0.242 0.000 (multiplicity 8)

Record 11
An optimized crystal structure of Pm2Ho3Hg4, computed with PBE-GGA.

For the density of states at the Fermi level, the calculation gives 0.882 states/eV per atom. The calculation puts the formation enthalpy at 0 K at -0.349 eV per atom. The value obtained for the total energy is -3.0652 eV/atom.

a = 6.979 Å, b = 17.854 Å, c = 8.150 Å
α = 90.00°, β = 90.00°, γ = 90.00°
Space group Cmce (No. 64)
Unique sites:
Pm 0.000 0.096 0.090 (multiplicity 8)
Ho 0.000 0.000 0.500 (multiplicity 4)
Ho 0.250 0.239 0.750 (multiplicity 8)
Hg 0.000 0.168 0.471 (multiplicity 8)
Hg 0.250 0.066 0.750 (multiplicity 8)

Record 12
An optimized crystal structure of Pm3Ho4Hg, computed with PBE-GGA.

For the density of states at the Fermi level, the calculation gives 1.201 states/eV per atom. The calculation puts the formation enthalpy at 0 K at -0.109 eV per atom. The value obtained for the total energy is -4.2175 eV/atom.

a = 3.597 Å, b = 3.597 Å, c = 19.110 Å
α = 90.00°, β = 90.00°, γ = 90.00°
Space group P4/mmm (No. 123)
Unique sites:
Pm 0.000 0.000 0.000 (multiplicity 1)
Pm 0.000 0.000 0.265 (multiplicity 2)
Ho 0.500 0.500 0.132 (multiplicity 2)
Ho 0.500 0.500 0.397 (multiplicity 2)
Hg 0.000 0.000 0.500 (multiplicity 1)

Q: Which of these has the highest total energy?
A: Pm2HoHg8

Q: What is the total energy in the second record?
A: -2.1442 eV/atom

Q: Among the records above, which one has the lowest total energy?
A: Pm3Ho4Hg

Q: formation enthalpy at 0 K of number 7 (Pm2Ho3Hg7)?
A: -0.292 eV per atom